Density functional theory data (PBE with a Hubbard U) for an optimized crystal structure of K2Fe4O7.

Summary:
M_tot: 11.9 μB per formula unit
VASP energy: -5.84 eV/atom
Volume: 160 Å³/cell

a = 5.1768 Å, b = 5.1768 Å, c = 6.8856 Å
α = 90.00°, β = 90.00°, γ = 120.00°
Closest atoms and distances in Å follow each position.
Sites, in units of the cell vectors:
1 K 0.6667 0.3333 0.0000  9 O 2.88-2.99, 3 K 2.99
2 O 0.6419 0.0000 0.3418  3 Fe 1.91-1.99
3 Fe 0.6667 0.3333 0.5000  6 O 1.99
4 Fe 0.0000 0.0000 0.2765  4 O 1.90-1.91
5 O 0.3581 0.3581 0.3418  3 Fe 1.91-1.99
6 Fe 0.0000 0.0000 0.7235  4 O 1.90-1.91
7 K 0.3333 0.6667 0.0000  9 O 2.88-2.99, 3 K 2.99
8 O 0.0000 0.3581 0.6582  3 Fe 1.91-1.99
9 Fe 0.3333 0.6667 0.5000  6 O 1.99
10 O 0.0000 0.0000 0.0000  2 Fe 1.90
11 O 0.3581 0.0000 0.6582  3 Fe 1.91-1.99
12 O 0.0000 0.6419 0.3418  3 Fe 1.91-1.99
13 O 0.6419 0.6419 0.6582  3 Fe 1.91-1.99